Entry 1:
An optimized crystal structure of RbSr2SmBr8, computed with PBE-GGA.

Summary:
- Electronic total energy: -3.825 eV/atom
- Formation energy (no corrections): -23.5 eV/f.u.

abc: 6.972 9.574 7.242
angles: 90.00 90.11 90.00
Space group P2/m (No. 10)
Unique sites:
Rb1 0.000 0.000 0.000
Sr1 0.500 0.249 0.500
Sm1 0.000 0.500 0.000
Br1 0.236 0.288 0.160
Br2 0.255 0.500 0.675
Br3 0.266 0.000 0.623

---

Entry 2:
An optimized crystal structure of NaMgH2Cl, computed with PBE-GGA.

Summary:
- Electronic total energy: -3.003 eV/atom
- Relative energy among the computed polymorphs: 0 meV per atom

abc: 3.871 3.871 5.259
angles: 90.00 90.00 90.00
Space group P4/mmm (No. 123)
Unique sites:
Na1 0.000 0.000 0.000
Mg1 0.500 0.500 0.500
H1 0.000 0.500 0.500
Cl1 0.500 0.500 0.000

---

Entry 3:
An optimized crystal structure of SrTc2GeN2, computed with PBE-GGA.

Summary:
- Electronic total energy: -7.505 eV/atom
- Formation energy (no corrections): -1.4 eV/f.u.

abc: 6.431 5.668 7.092
angles: 90.00 107.37 90.00
Space group P2_1/m (No. 11)
Unique sites:
Sr1 0.166 0.250 0.305
Tc1 0.371 0.001 0.797
Ge1 0.288 0.750 0.063
N1 0.184 0.250 0.681
N2 0.424 0.750 0.648

---

Entry 4:
An optimized crystal structure of Ba2Tc3RuO12, computed with PBE-GGA.

Summary:
- Electronic total energy: -7.378 eV/atom
- Formation energy (no corrections): -29.1 eV/f.u.

abc: 7.3448 7.3448 17.5633
angles: 90.00 90.00 120.00
Space group R-3m (No. 166, hexagonal axes)
Unique sites:
Ba1 0.0000 0.0000 0.1710
Tc1 0.0000 0.5000 0.0000
Ru1 0.0000 0.0000 0.5000
O1 0.0774 0.5387 0.1047
O2 0.0845 0.5422 0.3617

---

Entry 5:
An optimized crystal structure of Ca2GaPd4, computed with PBE-GGA.

Summary:
- Electronic total energy: -4.318 eV/atom
- Energy relative to the elements: -0.347 eV/atom

abc: 4.693 4.693 14.561
angles: 90.00 90.00 90.00
Space group I4/mmm (No. 139)
Unique sites:
Ca1 0.000 0.000 0.138
Ga1 0.000 0.000 0.500
Pd1 0.000 0.000 0.334
Pd2 0.000 0.500 0.000

---

Entry 6:
An optimized crystal structure of KNbInSe2, computed with PBE-GGA.

Summary:
- Electronic total energy: -2.904 eV/atom
- Formation energy (no corrections): 6.4 eV/f.u.

abc: 5.710 5.710 5.242
angles: 90.00 90.00 90.00
Space group P4/mmm (No. 123)
Unique sites:
K1 0.000 0.000 0.000
Nb1 0.000 0.000 0.500
In1 0.500 0.500 0.500
Se1 0.000 0.500 0.000

---

Entry 7:
An optimized crystal structure of AsRuBr, computed with PBE-GGA.

Summary:
- Electronic total energy: -5.093 eV/atom
- Relative energy among the computed polymorphs: 168 meV per atom
- Formation energy (no corrections): 0.3 eV/f.u.

abc: 2.981 3.624 12.511
angles: 90.00 90.00 90.00
Space group Imm2 (No. 44)
Unique sites:
As1 0.000 0.000 0.000
Ru1 0.000 0.000 0.436
Br1 0.000 0.000 0.241

---

Entry 8:
An optimized crystal structure of TlVCu2Ru, computed with PBE-GGA.

Summary:
- Electronic total energy: -4.171 eV/atom
- Energy relative to the elements: 1.620 eV/atom

abc: 4.495 4.495 5.080
angles: 90.00 90.00 90.00
Space group P4/mmm (No. 123)
Unique sites:
Tl1 0.000 0.000 0.000
V1 0.000 0.000 0.500
Cu1 0.000 0.500 0.500
Ru1 0.500 0.500 0.000

---

Entry 9:
An optimized crystal structure of CsCd3Sb3, computed with PBE-GGA.

Summary:
- Electronic total energy: -2.392 eV/atom
- Relative energy among the computed polymorphs: 40 meV per atom
- Formation energy (no corrections): -0.8 eV/f.u.

abc: 7.8812 7.8812 30.0465
angles: 90.00 90.00 120.00
Space group R-3 (No. 148, hexagonal axes)
Unique sites:
Cs1 0.0000 0.0000 0.1670
Cd1 0.0025 0.6610 0.3624
Sb1 0.0013 0.6749 0.5962

---

Entry 10:
An optimized crystal structure of TlCrAuBr2, computed with PBE-GGA.

Summary:
- Electronic total energy: -3.270 eV/atom
- Formation energy (no corrections): 2.3 eV/f.u.

abc: 5.909 5.909 5.262
angles: 90.00 90.00 90.00
Space group P4/mmm (No. 123)
Unique sites:
Tl1 0.000 0.000 0.000
Cr1 0.500 0.500 0.500
Au1 0.000 0.000 0.500
Br1 0.000 0.500 0.000

---

Entry 11:
An optimized crystal structure of CePHIr, computed with PBE-GGA.

Summary:
- Electronic total energy: -6.785 eV/atom

abc: 3.988 3.988 7.339
angles: 90.00 90.00 90.00
Space group P4/nmm (No. 129, origin choice 2)
Unique sites:
Ce1 0.250 0.250 0.162
P1 0.250 0.250 0.695
H1 0.250 0.750 0.000
Ir1 0.250 0.750 0.500

---

Entry 12:
An optimized crystal structure of SrHg2GeRu, computed with PBE-GGA.

Summary:
- Electronic total energy: -1.833 eV/atom
- Energy relative to the elements: 1.402 eV/atom

abc: 5.833 5.833 4.924
angles: 90.00 90.00 90.00
Space group P4/mmm (No. 123)
Unique sites:
Sr1 0.000 0.000 0.000
Hg1 0.000 0.500 0.000
Ge1 0.500 0.500 0.500
Ru1 0.000 0.000 0.500

---

Entry 13:
An optimized crystal structure of MgZr3In, computed with PBE-GGA.

Summary:
- Electronic total energy: -5.157 eV/atom
- Relative energy among the computed polymorphs: 917 meV per atom
- Energy relative to the elements: 0.838 eV/atom

abc: 5.058 5.058 5.058
angles: 90.00 90.00 90.00
Space group Pm-3m (No. 221)
Unique sites:
Mg1 0.000 0.000 0.000
Zr1 0.000 0.000 0.500
In1 0.500 0.500 0.500

---

Entry 14:
An optimized crystal structure of Ba2NbPd, computed with PBE-GGA.

Summary:
- Electronic total energy: -4.052 eV/atom
- Relative energy among the computed polymorphs: 122 meV per atom
- Energy relative to the elements: 0.725 eV/atom

abc: 9.081 9.081 6.714
angles: 90.00 90.00 90.00
Space group I-42d (No. 122)
Unique sites:
Ba1 0.201 0.750 0.125
Nb1 0.000 0.000 0.500
Pd1 0.000 0.000 0.000

---

Entry 15:
An optimized crystal structure of Rb2BaScN, computed with PBE-GGA.

Summary:
- Electronic total energy: -2.768 eV/atom
- Formation energy (no corrections): 4.7 eV/f.u.

abc: 7.823 7.823 4.564
angles: 90.00 90.00 90.00
Space group P4/mmm (No. 123)
Unique sites:
Rb1 0.000 0.500 0.000
Ba1 0.000 0.000 0.000
Sc1 0.500 0.500 0.500
N1 0.000 0.000 0.500

---

Entry 16:
An optimized crystal structure of BaZn2Ni2, computed with PBE-GGA.

Summary:
- Electronic total energy: -3.284 eV/atom
- Relative energy among the computed polymorphs: 15 meV per atom
- Energy relative to the elements: -0.077 eV/atom

abc: 4.295 4.295 10.470
angles: 90.00 90.00 90.00
Space group I4/mmm (No. 139)
Unique sites:
Ba1 0.000 0.000 0.000
Zn1 0.000 0.500 0.250
Ni1 0.000 0.000 0.381

---

Entry 17:
An optimized crystal structure of Sc3C, computed with PBE-GGA.

Summary:
- Electronic total energy: -7.017 eV/atom
- Relative energy among the computed polymorphs: 305 meV per atom
- Energy relative to the elements: 0.037 eV/atom

abc: 3.110 4.569 10.295
angles: 90.00 90.00 90.00
Space group Immm (No. 71)
Unique sites:
Sc1 0.000 0.000 0.000
Sc2 0.000 0.500 0.163
C1 0.000 0.000 0.500

---

Entry 18:
An optimized crystal structure of Ce2NpVN5, computed with PBE-GGA.

Summary:
- Electronic total energy: -9.636 eV/atom
- Formation energy (no corrections): -11.2 eV/f.u.

abc: 3.469 13.633 10.330
angles: 90.00 90.00 90.00
Space group Cmc2_1 (No. 36)
Unique sites:
Ce1 0.000 0.106 0.000
Ce2 0.000 0.144 0.612
Np1 0.000 0.206 0.321
V1 0.000 0.487 0.771
N1 0.000 0.041 0.347
N2 0.000 0.279 0.964
N3 0.000 0.322 0.691
N4 0.000 0.373 0.316
N5 0.000 0.487 0.098

---

Entry 19:
An optimized crystal structure of La5Tl2O2, computed with PBE-GGA.

Summary:
- Electronic total energy: -5.791 eV/atom
- Formation energy (no corrections): -12.8 eV/f.u.

abc: 7.230 19.670 7.241
angles: 90.00 90.00 90.00
Space group Imma (No. 74)
Unique sites:
La1 0.000 0.139 0.077
La2 0.250 0.012 0.750
La3 0.250 0.250 0.750
Tl1 0.000 0.127 0.524
O1 0.000 0.000 0.000
O2 0.000 0.250 0.976

---

Entry 20:
An optimized crystal structure of BeCu2, computed with PBE-GGA.

Summary:
- Electronic total energy: -3.704 eV/atom
- Energy relative to the elements: 0.269 eV/atom

abc: 4.4681 4.4681 6.3544
angles: 90.00 90.00 120.00
Space group P-31m (No. 162)
Unique sites:
Be1 0.0000 0.0000 0.0000
Be2 0.3333 0.6667 0.5000
Cu1 0.0000 0.3559 0.2209